! NdDyScSe3 GGA-PBE optimized geometry; values from VASP
! Size of the total moment: 0.12 μB per atom
! Raw total energy: -5.931 eV/atom
! ΔE_f (raw): -1571 meV/atom
&SYSTEM
  ibrav = 0, nat = 12, ntyp = 4
/
ATOMIC_SPECIES
Nd 144.24 Nd.upf
Dy 162.50 Dy.upf
Sc 44.96 Sc.upf
Se 78.96 Se.upf
CELL_PARAMETERS angstrom
8.3834 0.0000 0.0000
0.0000 4.0664 0.0000
-2.2564 0.0000 8.9881
ATOMIC_POSITIONS crystal
Nd 0.1790 0.2500 0.2199
Nd 0.8210 0.7500 0.7801
Dy 0.3429 0.7500 0.8548
Dy 0.6571 0.2500 0.1452
Sc 0.1012 0.2500 0.5976
Sc 0.8988 0.7500 0.4024
Se 0.1013 0.2500 0.8834
Se 0.2423 0.7500 0.4904
Se 0.4305 0.7500 0.1767
Se 0.5695 0.2500 0.8233
Se 0.7577 0.2500 0.5096
Se 0.8987 0.7500 0.1166

! Nd2DyScSe4 GGA-PBE optimized geometry; values from VASP
! Size of the total moment: 0.00 μB per atom
! Raw total energy: -6.045 eV/atom
! ΔE_f (raw): -1744 meV/atom
&SYSTEM
  ibrav = 0, nat = 8, ntyp = 4
/
ATOMIC_SPECIES
Nd 144.24 Nd.upf
Dy 162.50 Dy.upf
Sc 44.96 Sc.upf
Se 78.96 Se.upf
CELL_PARAMETERS angstrom
7.0368 0.0000 0.0000
0.0000 4.0403 0.0000
-2.3278 0.0000 6.8937
ATOMIC_POSITIONS crystal
Nd 0.0000 0.0000 0.0000
Nd 0.5000 0.5000 0.0000
Dy 0.0000 0.5000 0.5000
Sc 0.5000 0.0000 0.5000
Se 0.2506 0.0000 0.7304
Se 0.2656 0.5000 0.2746
Se 0.7344 0.5000 0.7254
Se 0.7494 0.0000 0.2696

! Nd5SmDy2Sc GGA-PBE optimized geometry; values from VASP
! Size of the total moment: 0.00 μB per atom
! Raw total energy: -4.773 eV/atom
! Formation energy from the elements: 1.139 eV/f.u.
&SYSTEM
  ibrav = 0, nat = 18, ntyp = 4
/
ATOMIC_SPECIES
Nd 144.24 Nd.upf
Sm 150.36 Sm.upf
Dy 162.50 Dy.upf
Sc 44.96 Sc.upf
CELL_PARAMETERS angstrom
2.6959 -10.9817 0.0000
2.6959 10.9817 0.0000
0.0000 0.0000 10.2767
ATOMIC_POSITIONS crystal
Nd 0.0000 0.0000 0.0000
Nd 0.0000 0.0000 0.5000
Nd 0.1264 0.8736 0.7500
Nd 0.2215 0.7785 0.0625
Nd 0.2215 0.7785 0.4375
Nd 0.4985 0.5015 0.2500
Nd 0.5015 0.4985 0.7500
Nd 0.7785 0.2215 0.5625
Nd 0.7785 0.2215 0.9375
Nd 0.8736 0.1264 0.2500
Sm 0.1012 0.8988 0.2500
Sm 0.8988 0.1012 0.7500
Dy 0.3839 0.6161 0.5010
Dy 0.3839 0.6161 0.9990
Dy 0.6161 0.3839 0.0010
Dy 0.6161 0.3839 0.4990
Sc 0.2853 0.7147 0.7500
Sc 0.7147 0.2853 0.2500

! NdSmDy2Sc4 GGA-PBE optimized geometry; values from VASP
! Size of the total moment: 0.00 μB per atom
! Raw total energy: -5.450 eV/atom
! Formation energy from the elements: 0.414 eV/f.u.
&SYSTEM
  ibrav = 0, nat = 8, ntyp = 4
/
ATOMIC_SPECIES
Nd 144.24 Nd.upf
Sm 150.36 Sm.upf
Dy 162.50 Dy.upf
Sc 44.96 Sc.upf
CELL_PARAMETERS angstrom
4.9693 0.0000 0.0000
0.0000 4.9693 0.0000
0.0000 0.0000 9.2128
ATOMIC_POSITIONS crystal
Nd 0.0000 0.0000 0.0000
Sm 0.5000 0.5000 0.5000
Dy 0.0000 0.0000 0.5000
Dy 0.5000 0.5000 0.0000
Sc 0.0000 0.5000 0.2509
Sc 0.0000 0.5000 0.7491
Sc 0.5000 0.0000 0.2509
Sc 0.5000 0.0000 0.7491

! Nd2Sm6Dy3Sc GGA-PBE optimized geometry; values from VASP
! Size of the total moment: 0.00 μB per atom
! Raw total energy: -4.807 eV/atom
! Formation energy from the elements: 0.300 eV/f.u.
&SYSTEM
  ibrav = 0, nat = 12, ntyp = 4
/
ATOMIC_SPECIES
Nd 144.24 Nd.upf
Sm 150.36 Sm.upf
Dy 162.50 Dy.upf
Sc 44.96 Sc.upf
CELL_PARAMETERS angstrom
3.1064 -5.3791 0.0000
3.1064 5.3791 0.0000
-2.0725 0.0000 11.6977
ATOMIC_POSITIONS crystal
Nd 0.1666 0.8334 0.0000
Nd 0.8334 0.1666 0.0000
Sm 0.0875 0.4170 0.7495
Sm 0.2531 0.2531 0.2510
Sm 0.4170 0.0875 0.7495
Sm 0.5830 0.9125 0.2505
Sm 0.7469 0.7469 0.7490
Sm 0.9125 0.5830 0.2505
Dy 0.0000 0.0000 0.5000
Dy 0.3338 0.6662 0.5000
Dy 0.6662 0.3338 0.5000
Sc 0.5000 0.5000 0.0000

! Nd2Sm4DySc GGA-PBE optimized geometry; values from VASP
! Size of the total moment: 0.00 μB per atom
! Raw total energy: -4.887 eV/atom
! Formation energy from the elements: 0.246 eV/f.u.
&SYSTEM
  ibrav = 0, nat = 8, ntyp = 4
/
ATOMIC_SPECIES
Nd 144.24 Nd.upf
Sm 150.36 Sm.upf
Dy 162.50 Dy.upf
Sc 44.96 Sc.upf
CELL_PARAMETERS angstrom
5.0702 0.0000 0.0000
0.0000 5.0805 0.0000
-0.0103 0.0000 10.1165
ATOMIC_POSITIONS crystal
Nd 0.0000 0.0000 0.0000
Nd 0.5000 0.5000 0.5000
Sm 0.0003 0.5000 0.2542
Sm 0.9997 0.5000 0.7458
Sm 0.4995 0.0000 0.7449
Sm 0.5005 0.0000 0.2551
Dy 0.5000 0.5000 0.0000
Sc 0.0000 0.0000 0.5000

! NdSmDy5Sc2 GGA-PBE optimized geometry; values from VASP
! Size of the total moment: 0.00 μB per atom
! Raw total energy: -4.848 eV/atom
! Formation energy from the elements: 1.530 eV/f.u.
&SYSTEM
  ibrav = 0, nat = 18, ntyp = 4
/
ATOMIC_SPECIES
Nd 144.24 Nd.upf
Sm 150.36 Sm.upf
Dy 162.50 Dy.upf
Sc 44.96 Sc.upf
CELL_PARAMETERS angstrom
2.8035 -10.7453 0.0000
2.8035 10.7453 0.0000
0.0000 0.0000 9.3717
ATOMIC_POSITIONS crystal
Nd 0.0968 0.9032 0.5000
Nd 0.9032 0.0968 0.0000
Sm 0.3122 0.6878 0.8948
Sm 0.6878 0.3122 0.3948
Dy 0.0315 0.9685 0.1671
Dy 0.1092 0.8908 0.8725
Dy 0.1925 0.8075 0.1947
Dy 0.2346 0.7654 0.5809
Dy 0.4926 0.5074 0.8934
Dy 0.5074 0.4926 0.3934
Dy 0.7654 0.2346 0.0809
Dy 0.8075 0.1925 0.6947
Dy 0.8908 0.1092 0.3725
Dy 0.9685 0.0315 0.6671
Sc 0.3575 0.6425 0.2205
Sc 0.3869 0.6131 0.5896
Sc 0.6131 0.3869 0.0896
Sc 0.6425 0.3575 0.7205

! Nd2Sm5DySc GGA-PBE optimized geometry; values from VASP
! Size of the total moment: 0.00 μB per atom
! Raw total energy: -4.774 eV/atom
! Formation energy from the elements: 1.098 eV/f.u.
&SYSTEM
  ibrav = 0, nat = 18, ntyp = 4
/
ATOMIC_SPECIES
Nd 144.24 Nd.upf
Sm 150.36 Sm.upf
Dy 162.50 Dy.upf
Sc 44.96 Sc.upf
CELL_PARAMETERS angstrom
2.7007 -11.0052 0.0000
2.7007 11.0052 0.0000
0.0000 0.0000 10.1530
ATOMIC_POSITIONS crystal
Nd 0.1163 0.8837 0.5000
Nd 0.1166 0.8834 0.9929
Nd 0.8834 0.1166 0.4929
Nd 0.8837 0.1163 0.0000
Sm 0.0007 0.9993 0.7465
Sm 0.2777 0.7223 0.5593
Sm 0.2780 0.7220 0.9345
Sm 0.3728 0.6272 0.2465
Sm 0.4999 0.5001 0.4964
Sm 0.5001 0.4999 0.9964
Sm 0.6272 0.3728 0.7465
Sm 0.7223 0.2777 0.0593
Sm 0.7220 0.2780 0.4345
Sm 0.9993 0.0007 0.2465
Dy 0.3978 0.6022 0.7465
Dy 0.6022 0.3978 0.2465
Sc 0.2134 0.7866 0.2468
Sc 0.7866 0.2134 0.7468

! Nd2SmDy6Sc3 GGA-PBE optimized geometry; values from VASP
! Size of the total moment: 0.00 μB per atom
! Raw total energy: -5.024 eV/atom
! Formation energy from the elements: 0.570 eV/f.u.
&SYSTEM
  ibrav = 0, nat = 12, ntyp = 4
/
ATOMIC_SPECIES
Nd 144.24 Nd.upf
Sm 150.36 Sm.upf
Dy 162.50 Dy.upf
Sc 44.96 Sc.upf
CELL_PARAMETERS angstrom
3.0467 -5.2755 0.0000
3.0467 5.2755 0.0000
-2.0275 0.0000 11.3638
ATOMIC_POSITIONS crystal
Nd 0.1667 0.8333 0.0000
Nd 0.8333 0.1667 0.0000
Sm 0.5000 0.5000 0.0000
Dy 0.0793 0.4125 0.7379
Dy 0.2543 0.2543 0.2620
Dy 0.4125 0.0793 0.7379
Dy 0.5875 0.9207 0.2621
Dy 0.7457 0.7457 0.7380
Dy 0.9207 0.5875 0.2621
Sc 0.0000 0.0000 0.5000
Sc 0.3335 0.6665 0.5000
Sc 0.6665 0.3335 0.5000

! Nd4SmDy2Sc GGA-PBE optimized geometry; values from VASP
! Size of the total moment: 0.00 μB per atom
! Raw total energy: -4.888 eV/atom
! Formation energy from the elements: 0.221 eV/f.u.
&SYSTEM
  ibrav = 0, nat = 8, ntyp = 4
/
ATOMIC_SPECIES
Nd 144.24 Nd.upf
Sm 150.36 Sm.upf
Dy 162.50 Dy.upf
Sc 44.96 Sc.upf
CELL_PARAMETERS angstrom
5.0930 0.0000 0.0000
0.0000 5.1140 0.0000
0.0000 0.0000 10.0140
ATOMIC_POSITIONS crystal
Nd 0.0000 0.0000 0.2435
Nd 0.0000 0.0000 0.7565
Nd 0.5000 0.5000 0.2436
Nd 0.5000 0.5000 0.7564
Sm 0.5000 0.0000 0.5000
Dy 0.0000 0.5000 0.5000
Dy 0.5000 0.0000 0.0000
Sc 0.0000 0.5000 0.0000

! Nd2SmDy5Sc GGA-PBE optimized geometry; values from VASP
! Size of the total moment: 0.00 μB per atom
! Raw total energy: -4.687 eV/atom
! Formation energy from the elements: 1.411 eV/f.u.
&SYSTEM
  ibrav = 0, nat = 18, ntyp = 4
/
ATOMIC_SPECIES
Nd 144.24 Nd.upf
Sm 150.36 Sm.upf
Dy 162.50 Dy.upf
Sc 44.96 Sc.upf
CELL_PARAMETERS angstrom
2.7968 -9.9244 0.0000
2.7968 9.9244 0.0000
0.0000 0.0000 10.4548
ATOMIC_POSITIONS crystal
Nd 0.1129 0.8871 0.5000
Nd 0.1149 0.8851 0.9196
Nd 0.8851 0.1149 0.4196
Nd 0.8871 0.1129 0.0000
Sm 0.4112 0.5888 0.6437
Sm 0.5888 0.4112 0.1437
Dy 0.0170 0.9830 0.2037
Dy 0.2764 0.7236 0.5074
Dy 0.2973 0.7027 0.8887
Dy 0.3747 0.6253 0.2044
Dy 0.4824 0.5176 0.9256
Dy 0.5176 0.4824 0.4256
Dy 0.6253 0.3747 0.7044
Dy 0.7027 0.2973 0.3887
Dy 0.7236 0.2764 0.0074
Dy 0.9830 0.0170 0.7037
Sc 0.1963 0.8037 0.1998
Sc 0.8037 0.1963 0.6998

! Nd3Sm2Dy6Sc GGA-PBE optimized geometry; values from VASP
! Size of the total moment: 0.00 μB per atom
! Raw total energy: -4.781 eV/atom
! Formation energy from the elements: 0.315 eV/f.u.
&SYSTEM
  ibrav = 0, nat = 12, ntyp = 4
/
ATOMIC_SPECIES
Nd 144.24 Nd.upf
Sm 150.36 Sm.upf
Dy 162.50 Dy.upf
Sc 44.96 Sc.upf
CELL_PARAMETERS angstrom
3.0922 -5.3549 0.0000
3.0922 5.3549 0.0000
-2.0571 0.0000 11.6362
ATOMIC_POSITIONS crystal
Nd 0.0000 0.0000 0.0000
Nd 0.3334 0.6666 0.0000
Nd 0.6666 0.3334 0.0000
Sm 0.1663 0.8337 0.5000
Sm 0.8337 0.1663 0.5000
Dy 0.0883 0.4187 0.2543
Dy 0.2510 0.2510 0.7461
Dy 0.4187 0.0883 0.2543
Dy 0.5813 0.9117 0.7457
Dy 0.7490 0.7490 0.2539
Dy 0.9117 0.5813 0.7457
Sc 0.5000 0.5000 0.5000